P.
Density functional theory data (PBE-GGA) for a relaxed PdSeN crystal.

```
6
Lattice="4.377 0.000 0.000 0.573 4.355 0.000 1.104 1.353 9.081" Properties=species:S:1:pos:R:3 pbc="T T T"
Pd 1.060 0.934 0.015
Pd 4.995 4.774 9.066
Se 1.678 3.092 1.180
Se 4.376 2.616 7.900
N 2.461 1.105 4.758
N 3.593 4.603 4.323
```

Results
* theoretical density: 3.83 Mg/m³

---

Q.
Density functional theory data (PBE-GGA) for a relaxed PdSeN crystal.

```
6
Lattice="6.176 -1.722 0.000 6.176 1.722 0.000 -1.859 0.000 4.707" Properties=species:S:1:pos:R:3 pbc="T T T"
Pd 0.510 0.000 1.906
Pd 9.984 0.000 2.801
Se 3.047 0.000 1.123
Se 7.447 0.000 3.584
N 4.255 0.000 4.123
N 6.239 0.000 0.584
```

Results
* theoretical density: 6.61 Mg/m³

---

Preferred: P; penalty for the next structure: 0.206 eV/atom.